[1]
The following is a PBE-GGA calculation of a geometry-optimized MnReS2N structure, from the Alexandria database.

Results
**E_tot**: -7.315 eV per atom
**Polymorph energy (0 for the lowest one)**: 0.000 eV/atom
**Formation energy (no corrections)**: 325 meV/atom

abc: 4.8109 4.8109 3.7324
angles: 90.00 90.00 90.00
Closest atoms and distances in Å follow each position.
Atoms (fractional coordinates):
1 S 0.0000 0.5000 0.0000  2 Re 2.41
2 S 0.5000 0.0000 0.0000  2 Re 2.41
3 N 0.0000 0.0000 0.5000  2 Re 1.87
4 Mn 0.5000 0.5000 0.5000  8 S 3.04, 4 N 3.40
5 Re 0.0000 0.0000 0.0000  2 N 1.87



[2]
The following is a PBE-GGA calculation of a geometry-optimized PmThCdIn structure, from the Alexandria database.

Results
**E_tot**: -4.231 eV per atom
**Formation enthalpy at 0 K**: -0.28 eV per atom

abc: 5.4477 5.4477 5.4477
angles: 60.00 60.00 60.00
Closest atoms and distances in Å follow each position.
Atoms (fractional coordinates):
1 Pm 0.0000 0.0000 0.0000  4 In 3.34, 4 Cd 3.34
2 Cd 0.7500 0.7500 0.7500  4 Th 3.34, 4 Pm 3.34
3 Th 0.5000 0.5000 0.5000  4 In 3.34, 4 Cd 3.34
4 In 0.2500 0.2500 0.2500  4 Th 3.34, 4 Pm 3.34



[3]
The following is a PBE-GGA calculation of a geometry-optimized CeThTeIr structure, from the Alexandria database.

Results
**E_tot**: -7.399 eV per atom
**Formation energy (no corrections)**: -1060 meV/atom

abc: 4.1661 4.1664 8.0980
angles: 90.00 104.90 120.00
Closest atoms and distances in Å follow each position.
Atoms (fractional coordinates):
1 Ce 0.4999 0.1479 0.6630  3 Ir 2.89
2 Th 0.1038 0.9498 0.0689  3 Ir 2.85
3 Ir 0.3050 0.5504 0.8707  3 Th 2.85, 3 Ce 2.89
4 Te 0.9693 0.3827 0.3670  3 Ce 3.32, 3 Th 3.33